Entry 1:
This record from Alexandria via LeMat-Bulk describes a relaxed NpTa2S6 crystal. The functional is PBE-GGA.

Structure (extended XYZ):
```
9
Lattice="6.190 -2.275 0.000 6.190 2.275 0.000 -4.854 0.000 7.587" Properties=species:S:1:pos:R:3 pbc="T T T"
Np 0.000 0.000 0.000
Ta -0.973 0.000 4.417
Ta 8.498 0.000 3.170
S -3.049 0.000 5.481
S 1.501 0.000 3.365
S 0.082 0.000 6.682
S 7.443 0.000 0.905
S 6.024 0.000 4.222
S 10.575 0.000 2.106
```

Computed properties:
**Space-group type**: No. 12
**Formation energy from raw total energies**: -907 meV per atom
**Total moment**: 3.64 μB/f.u.

Entry 2:
This record from Alexandria via LeMat-Bulk describes a relaxed Mn3FeCo crystal. The functional is PBE-GGA.

Structure (extended XYZ):
```
20
Lattice="6.101 0.000 0.000 0.000 4.950 0.000 -3.986 0.000 7.188" Properties=species:S:1:pos:R:3 pbc="T T T"
Mn -1.000 0.616 1.813
Mn -2.993 1.859 5.407
Mn 1.050 3.092 0.381
Mn -0.943 4.333 3.975
Mn -0.954 0.645 6.073
Mn 1.039 1.830 2.479
Mn 1.076 3.119 4.709
Mn 3.069 4.305 1.115
Mn 3.059 0.617 3.213
Mn 1.066 1.858 6.807
Mn 5.108 3.090 1.781
Mn 3.115 4.334 5.375
Fe 1.023 0.606 0.379
Fe -0.970 1.869 3.973
Fe 3.085 3.081 3.215
Fe 1.092 4.344 6.808
Co -0.963 3.106 6.118
Co 1.030 4.319 2.524
Co 1.086 0.631 4.664
Co 3.079 1.844 1.070
```

Computed properties:
**Distance to the lowest polymorph of the same formula**: 0 meV per atom
**Space-group type**: No. 14
**ΔH_f (0 K)**: 0.0647 eV per atom
**Total moment**: 1.45 μB/f.u.

Entry 3:
This record from Alexandria via LeMat-Bulk describes a relaxed SrGa4Ni2 crystal. The functional is PBE-GGA.

Structure (extended XYZ):
```
7
Lattice="-2.613 3.341 3.346 2.613 -3.341 3.346 2.613 3.341 -3.346" Properties=species:S:1:pos:R:3 pbc="T T T"
Sr 0.000 0.000 0.000
Ga 2.613 1.308 -1.310
Ga 0.000 2.033 4.656
Ga 2.613 1.308 1.310
Ga 0.000 2.033 2.036
Ni 1.307 3.341 0.000
Ni 1.306 0.000 3.346
```

Computed properties:
**Space-group type**: No. 71
**ΔH_f (0 K)**: -0.2034 eV per atom
**Total moment**: 0.00 μB/f.u.

Entry 4:
This record from Alexandria via LeMat-Bulk describes a relaxed ThPd2Rh crystal. The functional is PBE-GGA.

Structure (extended XYZ):
```
8
Lattice="2.914 -5.252 0.000 2.914 5.252 0.000 0.000 0.000 4.800" Properties=species:S:1:pos:R:3 pbc="T T T"
Th 2.914 3.426 3.600
Th 2.914 -3.426 1.200
Pd 1.505 0.795 3.600
Pd 1.505 -0.795 1.200
Pd 4.322 0.795 3.600
Pd 4.322 -0.795 1.200
Rh 2.914 1.757 1.200
Rh 2.914 -1.757 3.600
```

Computed properties:
**Space-group type**: No. 63
**ΔH_f (0 K)**: -0.8586 eV per atom
**Total moment**: 0.00 μB/f.u.

Number 1: theoretical density 6.15 g/cm³. Number 2: theoretical density 8.56 g/cm³. Number 3: theoretical density 6.87 g/cm³. Number 4: theoretical density 12.38 g/cm³.